## i
First-principles (PBE-GGA) data for a relaxed structure of KTl2Se3, as listed in the Alexandria database.

abc: 23.9857 4.9152 8.0143
angles: 90.00 109.18 90.00
Space group C2/m (No. 12)
Unique sites:
K1 0.1498 0.0000 0.3546 [4 per cell]
Tl1 0.0443 0.5000 0.7314 [4 per cell]
Tl2 0.1934 0.0000 0.8767 [4 per cell]
Se1 0.0740 0.5000 0.4296 [4 per cell]
Se2 0.0826 0.0000 0.9145 [4 per cell]
Se3 0.2243 0.5000 0.7612 [4 per cell]

Results
M_tot ... 0.00 μB/f.u.

***

## ii
First-principles (PBE-GGA) data for a relaxed structure of KTl2Se3, as listed in the Alexandria database.

abc: 14.7557 8.7555 7.0811
angles: 90.00 90.00 90.00
Space group Cmc2_1 (No. 36)
Unique sites:
K1 0.0000 0.1734 0.0000 [4 per cell]
Tl1 0.1664 0.3384 0.4586 [8 per cell]
Se1 0.0000 0.2077 0.5180 [4 per cell]
Se2 0.1934 0.3591 0.0648 [8 per cell]

Results
M_tot ... 0.00 μB/f.u.

***

Of the structures shown above, i is the least stable.